# ZnFeSi4O10 | the Alexandria database | PBE with a Hubbard U | relaxed
data_ZnFeSi4O10
_cell_length_a 7.317
_cell_length_b 7.317
_cell_length_c 14.996
_cell_angle_alpha 90.00
_cell_angle_beta 90.00
_cell_angle_gamma 90.00
_space_group_name_H-M_alt 'P 4/n c c'
_space_group_IT_number 130
loop_
_space_group_symop_operation_xyz
'x,y,z'
'-x,-y,-z'
'-y+1/2,x,z'
'y+1/2,-x,-z'
'-x+1/2,-y+1/2,z'
'x+1/2,y+1/2,-z'
'y,-x+1/2,z'
'-y,x+1/2,-z'
'x+1/2,-y,-z+1/2'
'-x+1/2,y,z+1/2'
'-y,-x,-z+1/2'
'y,x,z+1/2'
'-x,y+1/2,-z+1/2'
'x,-y+1/2,z+1/2'
'y+1/2,x+1/2,-z+1/2'
'-y+1/2,-x+1/2,z+1/2'
loop_
_atom_site_label
_atom_site_type_symbol
_atom_site_fract_x
_atom_site_fract_y
_atom_site_fract_z
Zn1 Zn 0.250 0.750 0.000
Fe1 Fe 0.250 0.250 0.067
Si1 Si 0.013 0.595 0.146
O1 O 0.003 0.186 0.873
O2 O 0.022 0.666 0.424
O3 O 0.065 0.565 0.250
# DOS(E_F) in states/eV per cell: 0.0
# Uncorrected energy in eV per atom: -7.285